1.
Below is an optimized crystal structure of Nd2DyGa3Cu2Ni, with properties calculated at the PBE-GGA level.

- Spin magnetization: 0.01 Bohr magnetons per cell
- Total DFT energy (no corrections): -4.510 eV/atom

Unit cell a=4.056 b=7.090 c=7.090 alpha=120.85 beta=90.00 gamma=90.00
Sites, in units of the cell vectors:
Ga1 0.500 0.770 0.995
Dy1 0.000 0.590 0.590
Cu1 0.500 0.343 0.664
Cu2 0.500 0.664 0.343
Nd1 0.000 0.001 0.413
Ga2 0.500 0.995 0.770
Ni1 0.000 0.994 0.994
Nd2 0.000 0.413 0.001
Ga3 0.500 0.229 0.229



2.
Below is an optimized crystal structure of Dy2Ga4CuNi, with properties calculated at the PBE-GGA level.

- Spin magnetization: 0.00 Bohr magnetons per cell
- Total DFT energy (no corrections): -4.407 eV/atom

Unit cell a=6.592 b=5.445 c=5.445 alpha=45.71 beta=90.00 gamma=90.00
Sites, in units of the cell vectors:
Dy1 0.500 0.077 0.077
Ga1 0.694 0.365 0.365
Cu1 0.000 0.208 0.208
Ga2 0.800 0.636 0.636
Dy2 0.000 0.921 0.921
Ga3 0.306 0.365 0.365
Ga4 0.200 0.636 0.636
Ni1 0.500 0.793 0.793



3.
Below is an optimized crystal structure of TbDy2Ga3CuNi2, with properties calculated at the PBE-GGA level.

- Spin magnetization: 0.00 Bohr magnetons per cell
- Total DFT energy (no corrections): -4.787 eV/atom

Unit cell a=3.729 b=7.127 c=7.127 alpha=120.00 beta=90.00 gamma=90.00
Sites, in units of the cell vectors:
Ga1 0.500 0.255 0.999
Ga2 0.500 0.745 0.745
Ni1 0.500 0.667 0.333
Dy1 0.000 0.000 0.588
Ni2 0.500 0.333 0.667
Ga3 0.500 0.999 0.255
Cu1 0.000 0.000 0.000
Dy2 0.000 0.588 0.000
Tb1 0.000 0.412 0.412